# 1
Mn | PBEsol | optimized geometry

Output
- ΔE to the lowest computed polymorph: 0.080 eV/atom
- Spin magnetization: 0.00 μB/f.u.
- Crystal system: orthorhombic
- E_form: 0.080 eV per atom

a b c (Å): 2.438 9.089 7.471
angles (deg): 90.00 90.00 90.00
Space group Cmcm (No. 63)
Asymmetric unit:
Mn1 0.000 0.019 0.250 x4
Mn2 0.000 0.247 0.750 x4
Mn3 0.000 0.375 0.017 x8

***

# 2
Mn | PBEsol | optimized geometry

Output
- ΔE to the lowest computed polymorph: 0.053 eV/atom
- Spin magnetization: 0.00 μB/f.u.
- Crystal system: hexagonal
- E_form: 0.053 eV per atom

a b c (Å): 2.4491 2.4491 3.9663
angles (deg): 90.00 90.00 120.00
Space group P6_3/mmc (No. 194)
Asymmetric unit:
Mn1 0.3333 0.6667 0.2500 x2

***

# 3
MnMo4 | PBEsol | optimized geometry

Output
- Spin magnetization: 0.00 μB/f.u.
- Crystal system: cubic
- E_form: 1.148 eV per atom

a b c (Å): 5.505 5.505 5.505
angles (deg): 90.00 90.00 90.00
Space group Im-3m (No. 229)
Asymmetric unit:
Mn1 0.000 0.000 0.000 x2
Mo1 0.250 0.250 0.250 x8

***

# 4
Mn2Mo | PBEsol | optimized geometry

Output
- Spin magnetization: 0.00 μB/f.u.
- Crystal system: hexagonal
- E_form: -0.059 eV per atom

a b c (Å): 4.6570 4.6570 15.2589
angles (deg): 90.00 90.00 120.00
Space group P6_3/mmc (No. 194)
Asymmetric unit:
Mn1 0.0000 0.5000 0.0000 x6
Mn2 0.1604 0.3208 0.2500 x6
Mn3 0.3333 0.6667 0.1277 x4
Mo1 0.0000 0.0000 0.0923 x4
Mo2 0.3333 0.6667 0.6561 x4